KRuPb2: relaxed, GGA-PBE.

Unit cell a=8.661 b=8.661 c=8.661 alpha=157.87 beta=151.01 gamma=36.78
Element x y z (fractional)
K 0.000 0.000 0.000
Ru 0.792 0.292 0.500
Pb 0.323 0.823 0.500
Pb 0.655 0.655 0.000

---

IrS5: relaxed, GGA-PBE.

Energy relative to the elements, uncorrected: 0.11 eV per atom

Unit cell a=4.970 b=6.987 c=8.440 alpha=90.00 beta=97.39 gamma=90.00
Element x y z (fractional)
Ir 0.249 0.250 0.249
Ir 0.751 0.750 0.751
S 0.055 0.523 0.889
S 0.055 0.977 0.889
S 0.354 0.514 0.405
S 0.354 0.986 0.405
S 0.461 0.750 0.931
S 0.539 0.250 0.069
S 0.646 0.014 0.595
S 0.646 0.486 0.595
S 0.945 0.023 0.111
S 0.945 0.477 0.111

---

BaTl3Hg6: relaxed, GGA-PBE.

Unit cell a=9.265 b=12.461 c=5.381 alpha=90.00 beta=90.00 gamma=90.00
Element x y z (fractional)
Ba 0.000 0.000 0.000
Ba 0.500 0.500 0.500
Tl 0.000 0.500 0.500
Tl 0.197 0.454 0.000
Tl 0.303 0.954 0.500
Tl 0.500 0.000 0.000
Tl 0.697 0.046 0.500
Tl 0.803 0.546 0.000
Hg 0.071 0.722 0.000
Hg 0.077 0.174 0.500
Hg 0.229 0.696 0.500
Hg 0.271 0.196 0.000
Hg 0.423 0.674 0.000
Hg 0.429 0.222 0.500
Hg 0.571 0.778 0.500
Hg 0.577 0.326 0.000
Hg 0.729 0.804 0.000
Hg 0.771 0.304 0.500
Hg 0.923 0.826 0.500
Hg 0.929 0.278 0.000

---

TiVReGe: relaxed, GGA-PBE.

Unit cell a=4.350 b=4.350 c=4.350 alpha=60.00 beta=60.00 gamma=60.00
Element x y z (fractional)
Ti 0.000 0.000 0.000
V 0.750 0.750 0.750
Re 0.500 0.500 0.500
Ge 0.250 0.250 0.250

---

| no. | total energy (eV for the cell shown) |
| --- | --- |
| 1 | -16.814 |
| 2 | -57.627 |
| 3 | -24.403 |
| 4 | -34.861 |